1.
Entry from Alexandria via LeMat-Bulk: a relaxed GaRuSeN2 crystal (GGA-PBE).

a b c (Å): 3.856 3.856 6.018
angles (deg): 90.00 90.00 90.00
Space group P4/mmm (No. 123)
Symmetry-distinct sites (fractional):
1 Ga 0.000 0.000 0.000
2 Ru 0.500 0.500 0.500
3 Se 0.500 0.500 0.000
4 N 0.000 0.500 0.500



2.
Entry from Alexandria via LeMat-Bulk: a relaxed GaRuSeN2 crystal (GGA-PBE).

a b c (Å): 3.767 3.767 5.615
angles (deg): 90.00 90.00 90.00
Space group P4/mmm (No. 123)
Symmetry-distinct sites (fractional):
1 Ga 0.000 0.000 0.000
2 Ru 0.500 0.500 0.500
3 Se 0.000 0.000 0.500
4 N 0.000 0.500 0.000



Relative energy table, unit meV per atom: 1 0; 2 873



1.
Entry from Alexandria via LeMat-Bulk: a relaxed GaSN crystal (GGA-PBE).

a b c (Å): 3.106 3.473 11.933
angles (deg): 85.60 83.14 63.46
Space group P-1 (No. 2)
Symmetry-distinct sites (fractional):
1 Ga 0.115 0.191 0.086
2 S 0.499 0.774 0.703
3 N 0.329 0.180 0.632



2.
Entry from Alexandria via LeMat-Bulk: a relaxed GaSN crystal (GGA-PBE).

a b c (Å): 9.126 6.522 6.520
angles (deg): 90.00 110.70 90.00
Space group P2_1/c (No. 14)
Symmetry-distinct sites (fractional):
1 Ga 0.000 0.250 0.000
2 S 0.116 0.000 0.307
3 N 0.499 0.062 0.941



Relative energy table, unit meV per atom: 1 889; 2 0



1.
Entry from Alexandria via LeMat-Bulk: a relaxed GaS2N2 crystal (GGA-PBE).

a b c (Å): 3.966 3.966 3.912
angles (deg): 90.00 90.00 90.00
Space group P4/mmm (No. 123)
Symmetry-distinct sites (fractional):
1 Ga 0.000 0.000 0.000
2 S 0.000 0.500 0.500
3 N 0.500 0.500 0.000
4 N 0.500 0.500 0.500



2.
Entry from Alexandria via LeMat-Bulk: a relaxed GaS2N2 crystal (GGA-PBE).

a b c (Å): 3.429 3.429 7.043
angles (deg): 90.00 90.00 90.00
Space group P4/mmm (No. 123)
Symmetry-distinct sites (fractional):
1 Ga 0.000 0.000 0.000
2 S 0.500 0.500 0.000
3 S 0.500 0.500 0.500
4 N 0.000 0.500 0.500



Relative energy table, unit meV per atom: 1 451; 2 0



1.
Entry from Alexandria via LeMat-Bulk: a relaxed GaSbSN2 crystal (GGA-PBE).

a b c (Å): 3.983 3.983 5.409
angles (deg): 90.00 90.00 90.00
Space group P4/mmm (No. 123)
Symmetry-distinct sites (fractional):
1 Ga 0.000 0.000 0.000
2 Sb 0.500 0.500 0.500
3 S 0.500 0.500 0.000
4 N 0.000 0.500 0.500



2.
Entry from Alexandria via LeMat-Bulk: a relaxed GaSbSN2 crystal (GGA-PBE).

a b c (Å): 3.950 3.950 4.930
angles (deg): 90.00 90.00 90.00
Space group P4/mmm (No. 123)
Symmetry-distinct sites (fractional):
1 Ga 0.000 0.000 0.000
2 Sb 0.500 0.500 0.500
3 S 0.000 0.000 0.500
4 N 0.000 0.500 0.000



Relative energy table, unit meV per atom: 1 14; 2 0



1.
Entry from Alexandria via LeMat-Bulk: a relaxed GaSnSN2 crystal (GGA-PBE).

a b c (Å): 4.002 4.002 5.095
angles (deg): 90.00 90.00 90.00
Space group P4/mmm (No. 123)
Symmetry-distinct sites (fractional):
1 Ga 0.000 0.000 0.000
2 Sn 0.500 0.500 0.500
3 S 0.000 0.000 0.500
4 N 0.000 0.500 0.000



2.
Entry from Alexandria via LeMat-Bulk: a relaxed GaSnSN2 crystal (GGA-PBE).

a b c (Å): 4.158 4.158 5.352
angles (deg): 90.00 90.00 90.00
Space group P4/mmm (No. 123)
Symmetry-distinct sites (fractional):
1 Ga 0.000 0.000 0.000
2 Sn 0.500 0.500 0.500
3 S 0.500 0.500 0.000
4 N 0.000 0.500 0.500



Relative energy table, unit meV per atom: 1 0; 2 186



1.
Entry from Alexandria via LeMat-Bulk: a relaxed GaSnS2N crystal (GGA-PBE).

a b c (Å): 4.958 4.958 3.748
angles (deg): 90.00 90.00 90.00
Space group P4/mmm (No. 123)
Symmetry-distinct sites (fractional):
1 Ga 0.000 0.000 0.000
2 Sn 0.500 0.500 0.500
3 S 0.000 0.500 0.000
4 N 0.000 0.000 0.500



2.
Entry from Alexandria via LeMat-Bulk: a relaxed GaSnS2N crystal (GGA-PBE).

a b c (Å): 5.119 5.119 4.157
angles (deg): 90.00 90.00 90.00
Space group P4/mmm (No. 123)
Symmetry-distinct sites (fractional):
1 Ga 0.000 0.000 0.000
2 Sn 0.500 0.500 0.500
3 S 0.000 0.500 0.500
4 N 0.500 0.500 0.000



Relative energy table, unit meV per atom: 1 0; 2 212